The following is a DFT calculation (PBE) of TlSiW4N2 after structural relaxation.

Output
space-group type	P-6m2 (187)
crystal system	hexagonal

The structure in POSCAR format:
```
TlSiW4N2
1.0
2.9358 0.0000 0.0000
-1.4679 2.5425 0.0000
0.0000 0.0000 14.5573
Tl Si W N
1 1 4 2
direct
0.0000 0.0000 0.0000 Tl
0.3333 0.6667 0.5000 Si
0.0000 0.0000 0.3669 W
0.0000 0.0000 0.6331 W
0.3333 0.6667 0.1731 W
0.3333 0.6667 0.8269 W
0.6667 0.3333 0.2669 N
0.6667 0.3333 0.7331 N
```

The following is a DFT calculation (PBE) of AcZrSc after structural relaxation.

Output
space-group type	F-43m (216)
formation energy from the elements	0.86	eV per atom
crystal system	cubic
excess energy over the best structure of this formula in the dataset	0	meV per atom

The structure in POSCAR format:
```
AcZrSc
1.0
7.4148 0.0000 0.0000
0.0000 7.4148 0.0000
0.0000 0.0000 7.4148
Ac Zr Sc
4 4 4
direct
0.0000 0.0000 0.0000 Ac
0.0000 0.5000 0.5000 Ac
0.5000 0.0000 0.5000 Ac
0.5000 0.5000 0.0000 Ac
0.0000 0.0000 0.5000 Zr
0.0000 0.5000 0.0000 Zr
0.5000 0.0000 0.0000 Zr
0.5000 0.5000 0.5000 Zr
0.2500 0.2500 0.2500 Sc
0.2500 0.7500 0.7500 Sc
0.7500 0.2500 0.7500 Sc
0.7500 0.7500 0.2500 Sc
```

The following is a DFT calculation (PBE) of Zr3Tl2Zn2 after structural relaxation.

Output
space-group type	R3m (160)
crystal system	trigonal

The structure in POSCAR format:
```
Zr3Tl2Zn2
1.0
2.4037 1.3878 7.9969
-2.4037 1.3878 7.9969
0.0000 -2.7756 7.9969
Zr Tl Zn
3 2 2
direct
0.0000 0.0000 0.0000 Zr
0.2483 0.2483 0.2483 Zr
0.5015 0.5015 0.5015 Zr
0.1192 0.1192 0.1192 Tl
0.6341 0.6341 0.6341 Tl
0.3797 0.3797 0.3797 Zn
0.8708 0.8708 0.8708 Zn
```

The following is a DFT calculation (PBE) of Hf3B2 after structural relaxation.

Output
space-group type	I4/mmm (139)
crystal system	tetragonal

The structure in POSCAR format:
```
Hf3B2
1.0
3.3889 0.0000 0.0000
0.0000 3.3889 0.0000
0.0000 0.0000 14.2054
Hf B
6 4
direct
0.0000 0.0000 0.0000 Hf
0.0000 0.0000 0.3342 Hf
0.0000 0.0000 0.6658 Hf
0.5000 0.5000 0.1658 Hf
0.5000 0.5000 0.5000 Hf
0.5000 0.5000 0.8342 Hf
0.0000 0.0000 0.1615 B
0.0000 0.0000 0.8385 B
0.5000 0.5000 0.3385 B
0.5000 0.5000 0.6615 B
```

The following is a DFT calculation (PBE) of ReTeNO after structural relaxation.

Output
space-group type	Pca2_1 (29)
crystal system	orthorhombic
excess energy over the best structure of this formula in the dataset	154	meV per atom

The structure in POSCAR format:
```
ReTeNO
1.0
5.9059 0.0000 0.0000
0.0000 9.0634 0.0000
0.0000 0.0000 4.9271
Re Te N O
4 4 4 4
direct
0.1550 0.1344 0.0000 Re
0.3450 0.1344 0.5000 Re
0.6550 0.8656 0.0000 Re
0.8450 0.8656 0.5000 Re
0.0151 0.3479 0.4470 Te
0.4849 0.3479 0.9470 Te
0.5151 0.6521 0.4470 Te
0.9849 0.6521 0.9470 Te
0.0347 0.7128 0.5488 N
0.4653 0.7128 0.0488 N
0.5347 0.2872 0.5488 N
0.9653 0.2872 0.0488 N
0.1057 0.0038 0.6695 O
0.3943 0.0038 0.1695 O
0.6057 0.9962 0.6695 O
0.8943 0.9962 0.1695 O
```

The following is a DFT calculation (PBE) of In2AgAu2 after structural relaxation.

Output
space-group type	I4/mmm (139)
crystal system	tetragonal
excess energy over the best structure of this formula in the dataset	4	meV per atom

The structure in POSCAR format:
```
In2AgAu2
1.0
4.3288 0.0000 0.0000
0.0000 4.3288 0.0000
0.0000 0.0000 12.3539
In Ag Au
4 2 4
direct
0.0000 0.5000 0.2500 In
0.0000 0.5000 0.7500 In
0.5000 0.0000 0.2500 In
0.5000 0.0000 0.7500 In
0.0000 0.0000 0.0000 Ag
0.5000 0.5000 0.5000 Ag
0.0000 0.0000 0.3936 Au
0.0000 0.0000 0.6064 Au
0.5000 0.5000 0.1064 Au
0.5000 0.5000 0.8936 Au
```

The following is a DFT calculation (PBE) of NaTbHgSe3 after structural relaxation.

Output
space-group type	Cmcm (63)
crystal system	orthorhombic
excess energy over the best structure of this formula in the dataset	0	meV per atom

The structure in POSCAR format:
```
NaTbHgSe3
1.0
2.0847 -6.9475 0.0000
2.0847 6.9475 0.0000
0.0000 0.0000 11.1164
Na Tb Hg Se
2 2 2 6
direct
0.2445 0.7555 0.7500 Na
0.7555 0.2445 0.2500 Na
0.0000 0.0000 0.0000 Tb
0.0000 0.0000 0.5000 Tb
0.4609 0.5391 0.2500 Hg
0.5391 0.4609 0.7500 Hg
0.0882 0.9118 0.2500 Se
0.3596 0.6404 0.0515 Se
0.3596 0.6404 0.4485 Se
0.6404 0.3596 0.5515 Se
0.6404 0.3596 0.9485 Se
0.9118 0.0882 0.7500 Se
```

The following is a DFT calculation (PBE) of Cs2HgSe2 after structural relaxation.

Output
space-group type	Ibam (72)
crystal system	orthorhombic
excess energy over the best structure of this formula in the dataset	0	meV per atom

The structure in POSCAR format:
```
Cs2HgSe2
1.0
-3.8017 7.2709 3.6150
3.8017 -7.2709 3.6150
3.8017 7.2709 -3.6150
Cs Hg Se
4 2 4
direct
0.1440 0.1725 0.3165 Cs
0.3560 0.6725 0.0285 Cs
0.6440 0.3275 0.9715 Cs
0.8560 0.8275 0.6835 Cs
0.2500 0.7500 0.5000 Hg
0.7500 0.2500 0.5000 Hg
0.1032 0.6900 0.7932 Se
0.3968 0.1900 0.5868 Se
0.6032 0.8100 0.4132 Se
0.8968 0.3100 0.2068 Se
```

no.,final energy (eV per atom)
1,-9.185
2,-5.468
3,-4.629
4,-9.006
5,-7.233
6,-2.894
7,-3.891
8,-2.664